# TlZnNiPt | OQMD | PBE | relaxed
# Total magnetic moment   0.00 μB per formula unit
# E   -0.1405 Ha/atom
# Theoretical density   13.608 Mg/m³
data_TlZnNiPt
_cell_length_a 4.487
_cell_length_b 4.487
_cell_length_c 4.487
_cell_angle_alpha 60.00
_cell_angle_beta 60.00
_cell_angle_gamma 60.00
_symmetry_space_group_name_H-M 'P 1'
_symmetry_Int_Tables_number 1
_symmetry_space_group_name_Hall 'P 1'
loop_
_atom_site_label
_atom_site_fract_x
_atom_site_fract_y
_atom_site_fract_z
Ni1 0.750 0.750 0.750
Pt1 0.250 0.250 0.250
Tl1 0.000 0.000 0.000
Zn1 0.500 0.500 0.500